DFT (PBE) results for an optimized crystal structure of Pr4Sm5Y.

```
data_Pr4Sm5Y
_space_group_name_H-M_alt 'P 1'
_space_group_IT_number 1
_cell_length_a 10.888
_cell_length_b 10.888
_cell_length_c 5.852
_cell_angle_alpha 90.00
_cell_angle_beta 90.00
_cell_angle_gamma 90.00
loop_
_space_group_symop_operation_xyz
'x,y,z'
loop_
_atom_site_label
_atom_site_fract_x
_atom_site_fract_y
_atom_site_fract_z
_atom_site_occupancy
Pr1 0.045 0.750 0.132 1
Pr2 0.250 0.545 0.868 1
Pr3 0.250 0.955 0.868 1
Pr4 0.455 0.750 0.132 1
Pr5 0.545 0.250 0.868 1
Pr6 0.750 0.045 0.132 1
Pr7 0.750 0.455 0.132 1
Pr8 0.955 0.250 0.868 1
Sm1 0.088 0.088 0.336 1
Sm2 0.088 0.412 0.336 1
Sm3 0.250 0.750 0.500 1
Sm4 0.412 0.088 0.336 1
Sm5 0.412 0.412 0.336 1
Sm6 0.588 0.588 0.664 1
Sm7 0.588 0.912 0.664 1
Sm8 0.750 0.250 0.500 1
Sm9 0.912 0.588 0.664 1
Sm10 0.912 0.912 0.664 1
Y1 0.250 0.250 0.864 1
Y2 0.750 0.750 0.136 1
```

Values from the calculation:
Calculated total energy ... -94.79 eV per cell
Crystal system ... tetragonal
ΔH_f (0 K) ... 0.18 eV per atom
Energy above the most stable polymorph in this dataset ... 15.9 kJ per mole of atoms